Density functional theory data (PBE-GGA) for an optimized crystal structure of DyMn3B3.

Results
Its crystal system is hexagonal. The calculation puts the energy of formation at -0.13 eV per atom. The density of states at the Fermi level comes out at 0.683 states/eV per atom. As for the space group: No. 176. The value obtained for the total DFT energy (no corrections) is -7.5752 eV per atom.

```
DyMn3B3
1.0
2.998 0.000 0.000
0.000 6.634 -3.788
0.000 -0.037 7.641
Dy Mn B
2 6 6
Direct
0.750 0.333 0.667 Dy
0.250 0.667 0.333 Dy
0.750 0.764 0.066 Mn
0.750 0.302 0.236 Mn
0.750 0.934 0.698 Mn
0.250 0.236 0.934 Mn
0.250 0.698 0.764 Mn
0.250 0.066 0.302 Mn
0.750 0.964 0.423 B
0.750 0.459 0.036 B
0.750 0.577 0.541 B
0.250 0.036 0.577 B
0.250 0.541 0.964 B
0.250 0.423 0.459 B
```